A geometry-optimized Be2SbSe structure, computed with PBE.

ρ	4.611	g cm⁻³
space-group type	Cmmm
density of states at the Fermi level	1.0	states/eV/f.u.
polymorph energy (0 for the lowest one)	593.3	meV/atom
uncorrected energy	-13.691	eV per cell

a = 3.719 Å, b = 3.719 Å, c = 7.087 Å
α = 90.00°, β = 90.00°, γ = 126.50°
Atoms (fractional coordinates):
Sb 0.500 0.500 0.250
Se 0.500 0.500 0.750
Be 0.000 0.000 0.965
Be 0.000 0.000 0.535

=====

A geometry-optimized BeSbSe2 structure, computed with PBE.

ρ	5.939	g cm⁻³
space-group type	P4/mmm
density of states at the Fermi level	2.2	states/eV/f.u.
polymorph energy (0 for the lowest one)	578.1	meV/atom
uncorrected energy	-13.510	eV per cell

a = 3.171 Å, b = 3.171 Å, c = 8.029 Å
α = 90.00°, β = 90.00°, γ = 90.00°
Atoms (fractional coordinates):
Sb 0.500 0.500 0.750
Se 0.000 0.000 0.088
Se 0.000 0.000 0.412
Be 0.500 0.500 0.250

=====

A geometry-optimized BeSbSe2 structure, computed with PBE.

ρ	6.039	g cm⁻³
space-group type	F-43m
density of states at the Fermi level	3.6	states/eV/f.u.
polymorph energy (0 for the lowest one)	898.0	meV/atom
uncorrected energy	-12.231	eV per cell

a = 4.824 Å, b = 4.824 Å, c = 4.824 Å
α = 60.00°, β = 60.00°, γ = 60.00°
Atoms (fractional coordinates):
Sb 0.250 0.250 0.250
Se 0.000 0.000 0.000
Se 0.750 0.750 0.750
Be 0.500 0.500 0.500